First-principles (GGA-PBE) data for Pm3In2Ru after structural relaxation, as listed in Alexandria.

```
Pm3In2Ru
1.0
-3.634 4.331 -5.627
-6.465 1.752 -0.130
1.151 7.427 3.137
Pm In Ru
6 4 2
direct
0.457 0.637 0.772
0.329 0.000 0.167
0.543 0.363 0.228
0.906 0.637 0.228
0.094 0.363 0.772
0.671 0.000 0.833
0.000 0.000 0.000
0.500 0.000 0.500
0.133 0.734 0.500
0.867 0.266 0.500
0.719 0.561 0.000
0.281 0.439 0.000
```

As for the space group: No. 12. Its total energy is -0.1872 hartree per atom. For the spin magnetization, the calculation gives 0.00 μB/f.u. The value obtained for the distance to the lowest polymorph of the same formula is 0.067 eV/atom. As for the formation energy: -0.26 eV/atom.

---

First-principles (GGA-PBE) data for Tb3DyEr2 after structural relaxation, as listed in Alexandria.

```
Tb3DyEr2
1.0
6.885 -1.148 -1.444
-4.073 9.242 -0.396
-2.151 0.717 6.754
Tb Dy Er
6 2 4
direct
0.251 0.001 0.750
0.749 0.999 0.250
0.805 0.666 0.861
0.195 0.335 0.639
0.805 0.665 0.361
0.195 0.334 0.139
0.251 0.001 0.250
0.749 0.999 0.750
0.304 0.666 0.361
0.304 0.666 0.861
0.696 0.334 0.139
0.696 0.334 0.639
```

As for the space group: No. 2. Its total energy is -0.1692 hartree per atom. For the spin magnetization, the calculation gives 0.00 μB/f.u. The value obtained for the distance to the lowest polymorph of the same formula is 0.000 eV/atom. As for the formation energy: 0.00 eV/atom.

---

First-principles (GGA-PBE) data for NdSm6Tm2Th3 after structural relaxation, as listed in Alexandria.

```
NdSm6Tm2Th3
1.0
-4.164 2.783 -3.699
2.892 -5.171 -1.913
-8.136 -5.737 6.594
Nd Sm Tm Th
1 6 2 3
direct
0.000 0.000 0.000
0.915 0.581 0.746
0.750 0.750 0.254
0.085 0.419 0.254
0.581 0.915 0.746
0.250 0.250 0.746
0.419 0.085 0.254
0.333 0.667 0.000
0.667 0.333 0.000
0.166 0.834 0.500
0.834 0.166 0.500
0.500 0.500 0.500
```

As for the space group: No. 12. Its total energy is -0.1956 hartree per atom. For the spin magnetization, the calculation gives 0.00 μB/f.u. As for the formation energy: 0.03 eV/atom.

---

First-principles (GGA-PBE) data for Ho3TmP4 after structural relaxation, as listed in Alexandria.

```
Ho3TmP4
1.0
3.979 0.000 0.000
0.000 6.887 -0.066
0.000 -2.234 6.516
Ho Tm P
3 1 4
direct
0.000 0.000 0.500
0.500 0.500 0.500
0.000 0.500 0.000
0.500 0.000 0.000
0.000 0.248 0.248
0.500 0.751 0.249
0.000 0.752 0.752
0.500 0.249 0.751
```

As for the space group: No. 65. Its total energy is -0.2423 hartree per atom. For the spin magnetization, the calculation gives 0.00 μB/f.u. As for the formation energy: -1.61 eV/atom.

---

Question: spin magnetization of number 3 (NdSm6Tm2Th3)?
Answer: 0.00 μB/f.u.